Entry 1:
! LiTc2Ni2 GGA-PBE relaxed; values from VASP
! E above lowest polymorph = 0 meV per atom
! energy of formation from the pure elements = 0.92 eV per formula unit
! uncorrected energy = -6.657 eV per atom
! space group = P4/mbm
! total magnetic moment = 0.0 Bohr magnetons per cell
&SYSTEM
  ibrav = 0, nat = 10, ntyp = 3
/
ATOMIC_SPECIES
Li 6.94 Li.upf
Tc 98.00 Tc.upf
Ni 58.69 Ni.upf
ATOMIC_POSITIONS angstrom
Li 0.000 0.000 0.000
Li 3.734 3.734 0.000
Tc 0.894 2.839 0.000
Tc 2.839 6.573 0.000
Tc 4.628 0.894 0.000
Tc 6.573 4.628 0.000
Ni 1.296 5.029 1.267
Ni 2.438 1.296 1.267
Ni 5.029 6.171 1.267
Ni 6.171 2.438 1.267
CELL_PARAMETERS angstrom
7.467 0.000 0.000
0.000 7.467 0.000
0.000 0.000 2.533

***

Entry 2:
! PuTl2Hg GGA-PBE relaxed; values from VASP
! E above lowest polymorph = 124 meV per atom
! energy of formation from the pure elements = 0.32 eV per formula unit
! uncorrected energy = -4.761 eV per atom
! space group = R-3m
! total magnetic moment = 6.1 Bohr magnetons per cell
&SYSTEM
  ibrav = 0, nat = 4, ntyp = 3
/
ATOMIC_SPECIES
Pu 244.00 Pu.upf
Tl 204.38 Tl.upf
Hg 200.59 Hg.upf
ATOMIC_POSITIONS angstrom
Pu 0.000 0.000 0.000
Tl 0.000 0.000 14.194
Tl 0.000 0.000 20.066
Hg 0.000 0.000 17.130
CELL_PARAMETERS angstrom
1.707 0.985 11.420
-1.707 0.985 11.420
0.000 -1.971 11.420